[1]
## HfAgPd (PBE)

Data for HfAgPd after structural relaxation.

ΔH_f (0 K) ... 2.35 kcal/mol of atoms
Crystal system ... cubic
Excess energy over the best structure of this formula in the dataset ... 602 meV/atom
Total magnetization ... 0.000 μB/atom

Cell lengths 6.3218, 6.3218, 6.3218 Å; angles 90.00, 90.00, 90.00 degrees
Element x y z (fractional)
Hf 0.0000 0.0000 0.0000
Hf 0.0000 0.5000 0.5000
Hf 0.5000 0.0000 0.5000
Hf 0.5000 0.5000 0.0000
Ag 0.2500 0.2500 0.7500
Ag 0.2500 0.7500 0.2500
Ag 0.7500 0.2500 0.2500
Ag 0.7500 0.7500 0.7500
Pd 0.2500 0.2500 0.2500
Pd 0.2500 0.7500 0.7500
Pd 0.7500 0.2500 0.7500
Pd 0.7500 0.7500 0.2500

***

[2]
## PmHfAg2 (PBE)

Data for PmHfAg2 after structural relaxation.

ΔH_f (0 K) ... 7.30 kcal/mol of atoms
Crystal system ... tetragonal
Total magnetization ... 0.002 μB/atom

Cell lengths 4.1239, 4.1239, 5.8571 Å; angles 90.00, 90.00, 90.00 degrees
Element x y z (fractional)
Pm 0.0000 0.0000 0.0000
Hf 0.5000 0.5000 0.5000
Ag 0.0000 0.0000 0.5000
Ag 0.5000 0.5000 0.0000

***

[3]
## PrHfAg (PBE)

Data for PrHfAg after structural relaxation.

ΔH_f (0 K) ... 23.13 kcal/mol of atoms
Crystal system ... cubic
Total magnetization ... 0.003 μB/atom

Cell lengths 6.9176, 6.9176, 6.9176 Å; angles 90.00, 90.00, 90.00 degrees
Element x y z (fractional)
Pr 0.0000 0.0000 0.0000
Pr 0.0000 0.5000 0.5000
Pr 0.5000 0.0000 0.5000
Pr 0.5000 0.5000 0.0000
Hf 0.2500 0.2500 0.2500
Hf 0.2500 0.7500 0.7500
Hf 0.7500 0.2500 0.7500
Hf 0.7500 0.7500 0.2500
Ag 0.2500 0.2500 0.7500
Ag 0.2500 0.7500 0.2500
Ag 0.7500 0.2500 0.2500
Ag 0.7500 0.7500 0.7500

***

[4]
## PrHfAg2Sn2 (PBE)

Data for PrHfAg2Sn2 after structural relaxation.

Crystal system ... trigonal
Total magnetization ... 0.001 μB/atom
VASP energy ... -30.70 eV/cell

Cell lengths 4.7204, 4.7204, 7.2213 Å; angles 90.00, 90.00, 120.00 degrees
Element x y z (fractional)
Pr 0.0000 0.0000 0.0000
Hf 0.0000 0.0000 0.5000
Ag 0.3333 0.6667 0.3258
Ag 0.6667 0.3333 0.6742
Sn 0.3333 0.6667 0.7447
Sn 0.6667 0.3333 0.2553

***

[5]
## Hf2AgPt3 (PBE)

Data for Hf2AgPt3 after structural relaxation.

ΔH_f (0 K) ... -20.98 kcal/mol of atoms
Crystal system ... tetragonal
Total magnetization ... 0.001 μB/atom

Cell lengths 3.4919, 3.4919, 8.7257 Å; angles 90.00, 90.00, 90.00 degrees
Element x y z (fractional)
Hf 0.0000 0.0000 0.0000
Hf 0.5000 0.5000 0.4778
Ag 0.5000 0.5000 0.8143
Pt 0.0000 0.0000 0.3242
Pt 0.0000 0.0000 0.6471
Pt 0.5000 0.5000 0.1383

***

[6]
## HfAgPt (PBE)

Data for HfAgPt after structural relaxation.

ΔH_f (0 K) ... -16.10 kcal/mol of atoms
Crystal system ... tetragonal
Excess energy over the best structure of this formula in the dataset ... 0 meV/atom
Total magnetization ... 0.001 μB/atom

Cell lengths 3.5259, 3.5259, 8.7709 Å; angles 90.00, 90.00, 90.00 degrees
Element x y z (fractional)
Hf 0.2500 0.2500 0.2282
Hf 0.7500 0.7500 0.7718
Ag 0.2500 0.2500 0.5788
Ag 0.7500 0.7500 0.4212
Pt 0.2500 0.2500 0.9052
Pt 0.7500 0.7500 0.0948

***

[7]
## Hf2AgPt (PBE)

Data for Hf2AgPt after structural relaxation.

ΔH_f (0 K) ... -4.99 kcal/mol of atoms
Crystal system ... cubic
Total magnetization ... 0.250 μB/atom

Cell lengths 6.6361, 6.6361, 6.6361 Å; angles 90.00, 90.00, 90.00 degrees
Element x y z (fractional)
Hf 0.0000 0.0000 0.0000
Hf 0.0000 0.5000 0.5000
Hf 0.2500 0.2500 0.2500
Hf 0.2500 0.7500 0.7500
Hf 0.5000 0.0000 0.5000
Hf 0.5000 0.5000 0.0000
Hf 0.7500 0.2500 0.7500
Hf 0.7500 0.7500 0.2500
Ag 0.2500 0.2500 0.7500
Ag 0.2500 0.7500 0.2500
Ag 0.7500 0.2500 0.2500
Ag 0.7500 0.7500 0.7500
Pt 0.0000 0.0000 0.5000
Pt 0.0000 0.5000 0.0000
Pt 0.5000 0.0000 0.0000
Pt 0.5000 0.5000 0.5000

***

[8]
## HfAgPt (PBE)

Data for HfAgPt after structural relaxation.

ΔH_f (0 K) ... -14.10 kcal/mol of atoms
Crystal system ... tetragonal
Excess energy over the best structure of this formula in the dataset ... 87 meV/atom
Total magnetization ... 0.009 μB/atom

Cell lengths 3.5082, 3.5082, 8.7317 Å; angles 90.00, 90.00, 90.00 degrees
Element x y z (fractional)
Hf 0.0000 0.0000 0.0000
Hf 0.5000 0.5000 0.5000
Ag 0.0000 0.0000 0.3340
Ag 0.0000 0.0000 0.6660
Pt 0.5000 0.5000 0.1637
Pt 0.5000 0.5000 0.8363

***

[9]
## HfAgPt (PBE)

Data for HfAgPt after structural relaxation.

ΔH_f (0 K) ... -8.79 kcal/mol of atoms
Crystal system ... cubic
Excess energy over the best structure of this formula in the dataset ... 317 meV/atom
Total magnetization ... 0.000 μB/atom

Cell lengths 6.3177, 6.3177, 6.3177 Å; angles 90.00, 90.00, 90.00 degrees
Element x y z (fractional)
Hf 0.0000 0.0000 0.0000
Hf 0.0000 0.5000 0.5000
Hf 0.5000 0.0000 0.5000
Hf 0.5000 0.5000 0.0000
Ag 0.0000 0.0000 0.5000
Ag 0.0000 0.5000 0.0000
Ag 0.5000 0.0000 0.0000
Ag 0.5000 0.5000 0.5000
Pt 0.2500 0.2500 0.7500
Pt 0.2500 0.7500 0.2500
Pt 0.7500 0.2500 0.2500
Pt 0.7500 0.7500 0.7500

***

[10]
## HfAgPt (PBE)

Data for HfAgPt after structural relaxation.

ΔH_f (0 K) ... -15.67 kcal/mol of atoms
Crystal system ... tetragonal
Excess energy over the best structure of this formula in the dataset ... 19 meV/atom
Total magnetization ... 0.001 μB/atom

Cell lengths 3.5051, 3.5051, 8.7876 Å; angles 90.00, 90.00, 90.00 degrees
Element x y z (fractional)
Hf 0.0000 0.0000 0.0000
Hf 0.5000 0.5000 0.5000
Ag 0.0000 0.0000 0.3217
Ag 0.5000 0.5000 0.8217
Pt 0.0000 0.0000 0.6462
Pt 0.5000 0.5000 0.1462

***

[11]
## HfAgPt (PBE)

Data for HfAgPt after structural relaxation.

ΔH_f (0 K) ... -3.99 kcal/mol of atoms
Crystal system ... cubic
Excess energy over the best structure of this formula in the dataset ... 525 meV/atom
Total magnetization ... 0.001 μB/atom

Cell lengths 6.3285, 6.3285, 6.3285 Å; angles 90.00, 90.00, 90.00 degrees
Element x y z (fractional)
Hf 0.0000 0.0000 0.0000
Hf 0.0000 0.5000 0.5000
Hf 0.5000 0.0000 0.5000
Hf 0.5000 0.5000 0.0000
Ag 0.2500 0.2500 0.7500
Ag 0.2500 0.7500 0.2500
Ag 0.7500 0.2500 0.2500
Ag 0.7500 0.7500 0.7500
Pt 0.2500 0.2500 0.2500
Pt 0.2500 0.7500 0.7500
Pt 0.7500 0.2500 0.7500
Pt 0.7500 0.7500 0.2500

***

[12]
## PuHfAg (PBE)

Data for PuHfAg after structural relaxation.

ΔH_f (0 K) ... 16.48 kcal/mol of atoms
Crystal system ... cubic
Excess energy over the best structure of this formula in the dataset ... 0 meV/atom
Total magnetization ... 1.908 μB/atom

Cell lengths 6.5124, 6.5124, 6.5124 Å; angles 90.00, 90.00, 90.00 degrees
Element x y z (fractional)
Pu 0.0000 0.0000 0.0000
Pu 0.0000 0.5000 0.5000
Pu 0.5000 0.0000 0.5000
Pu 0.5000 0.5000 0.0000
Hf 0.2500 0.2500 0.7500
Hf 0.2500 0.7500 0.2500
Hf 0.7500 0.2500 0.2500
Hf 0.7500 0.7500 0.7500
Ag 0.0000 0.0000 0.5000
Ag 0.0000 0.5000 0.0000
Ag 0.5000 0.0000 0.0000
Ag 0.5000 0.5000 0.5000